1.
Here is a geometry-optimized Sr2BeAl4Au3 structure from Alexandria. Energies are from PBE.

Cell lengths 4.4091, 4.4091, 10.7868 Å; angles 90.00, 90.00, 90.00 degrees
Closest atoms and distances in Å follow each position.
Positions (direct):
Sr1 0.0000 0.5000 0.2430  8 Al 3.38-3.54, 6 Au 3.39-3.43, 2 Be 3.43
Sr2 0.5000 0.0000 0.7570  8 Al 3.38-3.54, 6 Au 3.39-3.43, 2 Be 3.43
Be1 0.5000 0.5000 0.0000  4 Al 2.57
Al1 0.0000 0.0000 0.5000  4 Au 2.63
Al2 0.0000 0.5000 0.8782  2 Be 2.57, 3 Au 2.57-2.64
Al3 0.5000 0.0000 0.1218  2 Be 2.57, 3 Au 2.57-2.64
Al4 0.5000 0.5000 0.5000  4 Au 2.63
Au1 0.0000 0.0000 0.0000  4 Al 2.57
Au2 0.0000 0.5000 0.6334  5 Al 2.63-2.64
Au3 0.5000 0.0000 0.3666  5 Al 2.63-2.64

Computed properties:
For the formation energy from the elements, the calculation gives -0.4835 eV per atom. As for the magnetic moment: 0.0 μB per formula unit. For the total energy, the calculation gives -3.6727 eV per atom. As for the density of states at the Fermi level: 3.16 states/eV per cell.



2.
Here is a geometry-optimized Rb2PaTlBr8 structure from Alexandria. Energies are from PBE.

Cell lengths 6.9692, 8.1433, 10.2098 Å; angles 89.85, 89.81, 88.97 degrees
Closest atoms and distances in Å follow each position.
Positions (direct):
Rb1 0.0020 0.9999 0.2343  2 Br 3.26
Rb2 0.9980 0.0001 0.7657  2 Br 3.26
Pa1 0.5000 0.5000 0.5000  6 Br 2.72-2.74
Tl1 0.5000 0.5000 0.0000  2 Br 3.10
Br1 0.2137 0.7954 0.9991  1 Tl 3.10, 2 Rb 3.26
Br2 0.2720 0.3743 0.3110  1 Pa 2.72
Br3 0.2729 0.3738 0.6908  1 Pa 2.72
Br4 0.2837 0.7844 0.5004  1 Pa 2.74
Br5 0.7163 0.2156 0.4996  1 Pa 2.74
Br6 0.7271 0.6262 0.3092  1 Pa 2.72
Br7 0.7280 0.6257 0.6890  1 Pa 2.72
Br8 0.7863 0.2046 0.0009  1 Tl 3.10, 2 Rb 3.26

Computed properties:
As for the magnetic moment: 0.1 μB per formula unit. For the total energy, the calculation gives -3.6782 eV per atom. As for the density of states at the Fermi level: 1.89 states/eV per cell. For the raw formation energy, the calculation gives -1.413 eV per atom.



3.
Here is a geometry-optimized CaMn2S5 structure from Alexandria. Energies are from PBE.

Cell lengths 4.1551, 13.4662, 6.8068 Å; angles 90.00, 90.00, 90.00 degrees
Closest atoms and distances in Å follow each position.
Positions (direct):
Ca1 0.2500 0.2500 0.0640  6 S 2.80-2.85
Ca2 0.7500 0.7500 0.9360  6 S 2.80-2.85
Mn1 0.2500 0.5995 0.4974  5 S 2.31-2.41
Mn2 0.2500 0.9005 0.4974  5 S 2.31-2.41
Mn3 0.7500 0.0995 0.5026  5 S 2.31-2.41
Mn4 0.7500 0.4005 0.5026  5 S 2.31-2.41
S1 0.2500 0.0547 0.3456  3 Mn 2.32-2.41
S2 0.2500 0.4453 0.3456  3 Mn 2.32-2.41
S3 0.2500 0.6708 0.1762  1 S 2.13, 1 Mn 2.39
S4 0.2500 0.7500 0.6594  2 Mn 2.31
S5 0.2500 0.8292 0.1762  1 S 2.13, 1 Mn 2.39
S6 0.7500 0.1708 0.8238  1 S 2.13, 1 Mn 2.39
S7 0.7500 0.2500 0.3406  2 Mn 2.31
S8 0.7500 0.3292 0.8238  1 S 2.13, 1 Mn 2.39
S9 0.7500 0.5547 0.6544  3 Mn 2.32-2.41
S10 0.7500 0.9453 0.6544  3 Mn 2.32-2.41

Computed properties:
As for the magnetic moment: 8.0 μB per formula unit. For the total energy, the calculation gives -5.9367 eV per atom. As for the density of states at the Fermi level: 2.32 states/eV per cell. For the raw formation energy, the calculation gives -0.814 eV per atom.



4.
Here is a geometry-optimized Ho2ScAl structure from Alexandria. Energies are from PBE.

Cell lengths 7.9482, 3.6354, 8.0020 Å; angles 90.00, 111.94, 90.00 degrees
Closest atoms and distances in Å follow each position.
Positions (direct):
Ho1 0.0172 0.2500 0.2254  3 Al 3.08-3.29, 2 Sc 3.25
Ho2 0.3551 0.7500 0.5737  3 Al 3.06-3.23, 2 Sc 3.22
Ho3 0.6449 0.2500 0.4263  3 Al 3.06-3.23, 2 Sc 3.22
Ho4 0.9828 0.7500 0.7746  3 Al 3.08-3.29, 2 Sc 3.25
Sc1 0.3481 0.2500 0.9028  3 Al 2.95-3.02, 2 Sc 2.96, 4 Ho 3.22-3.25
Sc2 0.6519 0.7500 0.0972  3 Al 2.95-3.02, 2 Sc 2.96, 4 Ho 3.22-3.25
Al1 0.3088 0.7500 0.1763  3 Sc 2.95-3.02, 6 Ho 3.06-3.29
Al2 0.6912 0.2500 0.8237  3 Sc 2.95-3.02, 6 Ho 3.06-3.29

Computed properties:
For the formation energy from the elements, the calculation gives -0.0634 eV per atom. As for the magnetic moment: 0.0 μB per formula unit. For the total energy, the calculation gives -4.8708 eV per atom. As for the density of states at the Fermi level: 9.54 states/eV per cell. The calculation puts the excess energy over the best structure of this formula in the dataset at 138 meV per atom.



5.
Here is a geometry-optimized TlGaSn4 structure from Alexandria. Energies are from PBE.

Cell lengths 6.2770, 6.2770, 6.2770 Å; angles 60.00, 60.00, 60.00 degrees
Closest atoms and distances in Å follow each position.
Positions (direct):
Tl1 0.0000 0.0000 0.0000  12 Sn 3.68, 4 Ga 3.84
Ga1 0.7500 0.7500 0.7500  12 Sn 3.68, 4 Tl 3.84
Sn1 0.3753 0.3753 0.3753  6 Sn 3.13-3.15
Sn2 0.3753 0.3753 0.8741  6 Sn 3.13-3.15
Sn3 0.3753 0.8741 0.3753  6 Sn 3.13-3.15
Sn4 0.8741 0.3753 0.3753  6 Sn 3.13-3.15

Computed properties:
For the formation energy from the elements, the calculation gives 0.1245 eV per atom. As for the magnetic moment: 0.0 μB per formula unit. For the total energy, the calculation gives -3.4429 eV per atom. As for the density of states at the Fermi level: 2.57 states/eV per cell. The calculation puts the excess energy over the best structure of this formula in the dataset at 68 meV per atom.



6.
Here is a geometry-optimized In2O3 structure from Alexandria. Energies are from PBE.

Cell lengths 8.9182, 8.9182, 8.9182 Å; angles 109.47, 109.47, 109.47 degrees
Closest atoms and distances in Å follow each position.
Positions (direct):
In1 0.0000 0.0000 0.5000  6 O 2.21
In2 0.0000 0.5000 0.0000  6 O 2.21
In3 0.0339 0.7500 0.7839  6 O 2.17-2.25
In4 0.2161 0.9661 0.2500  6 O 2.17-2.25
In5 0.2500 0.2161 0.9661  6 O 2.17-2.25
In6 0.2500 0.7161 0.4661  6 O 2.17-2.25
In7 0.2839 0.5339 0.7500  6 O 2.17-2.25
In8 0.4661 0.2500 0.7161  6 O 2.17-2.25
In9 0.5000 0.0000 0.0000  6 O 2.21
In10 0.5000 0.5000 0.5000  6 O 2.21
In11 0.5339 0.7500 0.2839  6 O 2.17-2.25
In12 0.7161 0.4661 0.2500  6 O 2.17-2.25
In13 0.7500 0.2839 0.5339  6 O 2.17-2.25
In14 0.7500 0.7839 0.0339  6 O 2.17-2.25
In15 0.7839 0.0339 0.7500  6 O 2.17-2.25
In16 0.9661 0.2500 0.2161  6 O 2.17-2.25
O1 0.0073 0.0443 0.2721  4 In 2.17-2.25
O2 0.0370 0.4927 0.7648  4 In 2.17-2.25
O3 0.0443 0.2721 0.0073  4 In 2.17-2.25
O4 0.2279 0.2722 0.7352  4 In 2.17-2.25
O5 0.2278 0.4557 0.4630  4 In 2.17-2.25
O6 0.2352 0.9630 0.5073  4 In 2.17-2.25
O7 0.2648 0.7721 0.7278  4 In 2.17-2.25
O8 0.2721 0.0073 0.0443  4 In 2.17-2.25
O9 0.2722 0.7352 0.2279  4 In 2.17-2.25
O10 0.4557 0.4630 0.2278  4 In 2.17-2.25
O11 0.4630 0.2278 0.4557  4 In 2.17-2.25
O12 0.4927 0.7648 0.0370  4 In 2.17-2.25
O13 0.5073 0.2352 0.9630  4 In 2.17-2.25
O14 0.5370 0.7722 0.5443  4 In 2.17-2.25
O15 0.5443 0.5370 0.7722  4 In 2.17-2.25
O16 0.7278 0.2648 0.7721  4 In 2.17-2.25
O17 0.7279 0.9927 0.9557  4 In 2.17-2.25
O18 0.7352 0.2279 0.2722  4 In 2.17-2.25
O19 0.7648 0.0370 0.4927  4 In 2.17-2.25
O20 0.7722 0.5443 0.5370  4 In 2.17-2.25
O21 0.7721 0.7278 0.2648  4 In 2.17-2.25
O22 0.9557 0.7279 0.9927  4 In 2.17-2.25
O23 0.9630 0.5073 0.2352  4 In 2.17-2.25
O24 0.9927 0.9557 0.7279  4 In 2.17-2.25

Computed properties:
As for the magnetic moment: 0.0 μB per formula unit. For the total energy, the calculation gives -5.6529 eV per atom. For the raw formation energy, the calculation gives -1.583 eV per atom.



7.
Here is a geometry-optimized TaSiRu2 structure from Alexandria. Energies are from PBE.

Cell lengths 4.1783, 4.1783, 3.3183 Å; angles 90.00, 90.00, 90.00 degrees
Closest atoms and distances in Å follow each position.
Positions (direct):
Ta1 0.0000 0.0000 0.0000  8 Ru 2.67, 4 Si 2.95
Si1 0.5000 0.5000 0.0000  8 Ru 2.67, 4 Ta 2.95
Ru1 0.0000 0.5000 0.5000  4 Ta 2.67, 4 Si 2.67, 4 Ru 2.95
Ru2 0.5000 0.0000 0.5000  4 Ta 2.67, 4 Si 2.67, 4 Ru 2.95

Computed properties:
As for the magnetic moment: 0.0 μB per formula unit. For the total energy, the calculation gives -9.4158 eV per atom. As for the density of states at the Fermi level: 1.72 states/eV per cell. For the raw formation energy, the calculation gives -0.459 eV per atom.



8.
Here is a geometry-optimized K3Os structure from Alexandria. Energies are from PBE.

Cell lengths 6.9973, 6.9973, 6.9973 Å; angles 118.05, 118.05, 118.05 degrees
Closest atoms and distances in Å follow each position.
Positions (direct):
K1 0.0000 0.5000 0.5000  2 K 2.96
K2 0.5000 0.0000 0.5000  2 K 2.96
K3 0.5000 0.5000 0.0000  2 K 2.96
Os1 0.0000 0.0000 0.0000  2 Os 2.96

Computed properties:
For the formation energy from the elements, the calculation gives 1.3508 eV per atom. As for the magnetic moment: 0.9 μB per formula unit. For the total energy, the calculation gives -2.2798 eV per atom. As for the density of states at the Fermi level: 4.65 states/eV per cell. The calculation puts the excess energy over the best structure of this formula in the dataset at 117 meV per atom.